CsThMg: relaxed, PBE.

total magnetic moment: 0.0 μB per cell
total energy: -22.3 eV per cell

abc: 7.635 7.635 7.635
angles: 90.00 90.00 90.00
Space group F-43m (No. 216)
Inequivalent atoms, fractional coordinates:
Cs1 0.000 0.000 0.000 (multiplicity 4)
Th1 0.250 0.250 0.250 (multiplicity 4)
Mg1 0.250 0.250 0.750 (multiplicity 4)